(1)
Density functional theory data (PBE-GGA) for a relaxed DyY2HgC crystal.

Lattice parameters (Å, degrees): 4.9078 4.9078 4.9164 90.00 90.00 90.00
Closest atoms and distances in Å follow each position.
Sites, in units of the cell vectors:
Dy  0.0000  0.0000  0.0000  2 C 2.46
Y  0.0000  0.5000  0.5000  2 C 2.45
Y  0.5000  0.0000  0.5000  2 C 2.45
Hg  0.5000  0.5000  0.0000  4 Dy 3.47, 8 Y 3.47
C  0.0000  0.0000  0.5000  4 Y 2.45, 2 Dy 2.46

Values from the calculation:
Energy of formation from the pure elements in eV per formula unit: -1.9

---

(2)
Density functional theory data (PBE-GGA) for a relaxed TaSeS2N crystal.

Lattice parameters (Å, degrees): 4.8452 4.8452 3.5486 90.00 90.00 90.00
Closest atoms and distances in Å follow each position.
Sites, in units of the cell vectors:
Ta  0.0000  0.0000  0.0000  8 S 3.00
Se  0.5000  0.5000  0.5000  2 N 1.77
S  0.0000  0.5000  0.5000  2 Se 2.42
S  0.5000  0.0000  0.5000  2 Se 2.42
N  0.5000  0.5000  0.0000  2 Se 1.77

Values from the calculation:
Energy above the lowest structure with this stoichiometry in kcal/mol of atoms: 22.72
Formation energy from raw total energies in eV/atom: 1.212

---

(3)
Density functional theory data (PBE-GGA) for a relaxed TbPr12Sn3 crystal.

Lattice parameters (Å, degrees): 5.0171 5.0171 20.4228 90.00 90.00 90.00
Closest atoms and distances in Å follow each position.
Sites, in units of the cell vectors:
Tb  0.0000  0.0000  0.0000  12 Pr 3.55-3.70
Pr  0.0000  0.5000  0.1331  2 Sn 3.54, 8 Pr 3.55-3.70, 2 Tb 3.70
Pr  0.0000  0.5000  0.3786  8 Pr 3.53-3.55, 4 Sn 3.53-3.55
Pr  0.0000  0.5000  0.6214  4 Sn 3.53-3.55, 8 Pr 3.53-3.55
Pr  0.0000  0.5000  0.8669  2 Sn 3.54, 8 Pr 3.55-3.70, 2 Tb 3.70
Pr  0.5000  0.0000  0.1331  2 Sn 3.54, 8 Pr 3.55-3.70, 2 Tb 3.70
Pr  0.5000  0.0000  0.3786  8 Pr 3.53-3.55, 4 Sn 3.53-3.55
Pr  0.5000  0.0000  0.6214  4 Sn 3.53-3.55, 8 Pr 3.53-3.55
Pr  0.5000  0.0000  0.8669  2 Sn 3.54, 8 Pr 3.55-3.70, 2 Tb 3.70
Pr  0.5000  0.5000  0.0000  4 Tb 3.55, 8 Pr 3.70
Pr  0.5000  0.5000  0.2569  8 Pr 3.53-3.56, 4 Sn 3.55
Pr  0.5000  0.5000  0.5000  8 Pr 3.53, 4 Sn 3.55
Pr  0.5000  0.5000  0.7431  8 Pr 3.53-3.56, 4 Sn 3.55
Sn  0.0000  0.0000  0.2556  12 Pr 3.54-3.55
Sn  0.0000  0.0000  0.5000  12 Pr 3.53-3.55
Sn  0.0000  0.0000  0.7444  12 Pr 3.54-3.55

Values from the calculation:
Energy of formation from the pure elements in eV per formula unit: -5.2

---

(4)
Density functional theory data (PBE-GGA) for a relaxed CeBi3Pd4Pb2 crystal.

Lattice parameters (Å, degrees): 4.8069 4.8069 11.4938 90.00 90.00 90.00
Closest atoms and distances in Å follow each position.
Sites, in units of the cell vectors:
Ce  0.0000  0.0000  0.0000  4 Pd 2.82
Bi  0.0000  0.5000  0.3648  5 Pd 2.72-2.86
Bi  0.5000  0.0000  0.6352  5 Pd 2.72-2.86
Bi  0.5000  0.5000  0.0000  4 Pd 2.82
Pd  0.0000  0.0000  0.5000  4 Bi 2.86, 4 Pb 3.18
Pd  0.0000  0.5000  0.1282  3 Bi 2.72-2.82, 2 Ce 2.82
Pd  0.5000  0.0000  0.8718  3 Bi 2.72-2.82, 2 Ce 2.82
Pd  0.5000  0.5000  0.5000  4 Bi 2.86, 4 Pb 3.18
Pb  0.0000  0.5000  0.6812  4 Pd 3.18, 4 Bi 3.44
Pb  0.5000  0.0000  0.3188  4 Pd 3.18, 4 Bi 3.44

Values from the calculation:
Energy of formation from the pure elements in eV per formula unit: -2.9

---

(5)
Density functional theory data (PBE-GGA) for a relaxed CsNb3B crystal.

Lattice parameters (Å, degrees): 4.6001 4.6001 4.6001 90.00 90.00 90.00
Closest atoms and distances in Å follow each position.
Sites, in units of the cell vectors:
Cs  0.0000  0.0000  0.0000  12 Nb 3.25
Nb  0.0000  0.5000  0.5000  2 B 2.30
Nb  0.5000  0.0000  0.5000  2 B 2.30
Nb  0.5000  0.5000  0.0000  2 B 2.30
B  0.5000  0.5000  0.5000  6 Nb 2.30

Values from the calculation:
Energy above the lowest structure with this stoichiometry in kcal/mol of atoms: 0.00
Energy of formation from the pure elements in eV per formula unit: 5.9

---

(6)
Density functional theory data (PBE-GGA) for a relaxed InHgSb2 crystal.

Lattice parameters (Å, degrees): 3.8985 3.8985 7.6436 90.00 90.00 90.00
Closest atoms and distances in Å follow each position.
Sites, in units of the cell vectors:
In  0.0000  0.0000  0.0000  8 Sb 3.15
Hg  0.0000  0.0000  0.5000  8 Sb 3.58, 2 In 3.82, 4 Hg 3.90
Sb  0.5000  0.5000  0.2003  1 Sb 3.06, 4 In 3.15
Sb  0.5000  0.5000  0.7997  1 Sb 3.06, 4 In 3.15

Values from the calculation:
Energy above the lowest structure with this stoichiometry in kcal/mol of atoms: 2.19
Formation energy from raw total energies in eV/atom: 0.137

---

(7)
Density functional theory data (PBE-GGA) for a relaxed LaTcPt2 crystal.

Lattice parameters (Å, degrees): 4.8359 4.8359 4.8359 60.00 60.00 60.00
Closest atoms and distances in Å follow each position.
Sites, in units of the cell vectors:
La  0.0000  0.0000  0.0000  8 Pt 2.96
Tc  0.5000  0.5000  0.5000  8 Pt 2.96
Pt  0.2500  0.2500  0.2500  4 Tc 2.96, 4 La 2.96
Pt  0.7500  0.7500  0.7500  4 Tc 2.96, 4 La 2.96

Values from the calculation:
Energy above the lowest structure with this stoichiometry in kcal/mol of atoms: 4.47
Energy of formation from the pure elements in eV per formula unit: -0.5

---

(8)
Density functional theory data (PBE-GGA) for a relaxed Ag4S3 crystal.

Lattice parameters (Å, degrees): 6.7793 6.7793 7.2900 121.99 121.99 30.27
Closest atoms and distances in Å follow each position.
Sites, in units of the cell vectors:
Ag  0.0741  0.0741  0.4022  3 S 2.53-2.57
Ag  0.3278  0.3278  0.8653  4 S 2.52-2.60
Ag  0.6722  0.6722  0.1347  4 S 2.52-2.60
Ag  0.9259  0.9259  0.5978  3 S 2.53-2.57
S  0.0000  0.0000  0.0000  6 Ag 2.53-2.60
S  0.3365  0.3365  0.2918  4 Ag 2.52-2.57
S  0.6635  0.6635  0.7082  4 Ag 2.52-2.57

Values from the calculation:
Formation energy from raw total energies in eV/atom: 0.087

---

(9)
Density functional theory data (PBE-GGA) for a relaxed Ta2Be16B crystal.

Lattice parameters (Å, degrees): 5.5127 5.5127 5.5127 83.22 83.22 83.22
Closest atoms and distances in Å follow each position.
Sites, in units of the cell vectors:
Ta  0.0000  0.0000  0.0000  1 B 2.46, 12 Be 2.59-2.73
Ta  0.3249  0.3249  0.3249  19 Be 2.58-2.81
Be  0.0088  0.0088  0.5026  8 Be 2.10-2.23, 1 B 2.27
Be  0.0088  0.5026  0.0088  8 Be 2.10-2.23, 1 B 2.27
Be  0.1606  0.6654  0.6654  9 Be 2.09-2.29, 1 B 2.19
Be  0.3178  0.3178  0.8250  9 Be 2.10-2.34
Be  0.3178  0.8250  0.3178  9 Be 2.10-2.34
Be  0.3662  0.6627  0.9613  8 Be 2.09-2.23
Be  0.3662  0.9613  0.6627  8 Be 2.09-2.23
Be  0.5026  0.0088  0.0088  8 Be 2.10-2.23, 1 B 2.27
Be  0.5756  0.5756  0.5756  1 B 2.05, 3 Be 2.29
Be  0.6627  0.3662  0.9613  8 Be 2.09-2.23
Be  0.6627  0.9613  0.3662  8 Be 2.09-2.23
Be  0.6654  0.1606  0.6654  9 Be 2.09-2.29, 1 B 2.19
Be  0.6654  0.6654  0.1606  9 Be 2.09-2.29, 1 B 2.19
Be  0.8250  0.3178  0.3178  9 Be 2.10-2.34
Be  0.9613  0.3662  0.6627  8 Be 2.09-2.23
Be  0.9613  0.6627  0.3662  8 Be 2.09-2.23
B  0.7687  0.7687  0.7687  7 Be 2.05-2.27

Values from the calculation:
Energy of formation from the pure elements in eV per formula unit: -2.7

---

(10)
Density functional theory data (PBE-GGA) for a relaxed AcPr3Sm5 crystal.

Lattice parameters (Å, degrees): 8.6613 8.6613 10.3010 101.41 101.41 84.11
Closest atoms and distances in Å follow each position.
Sites, in units of the cell vectors:
Ac  0.2489  0.2489  0.2493  2 Sm 3.43-3.52, 4 Pr 3.53-3.73
Ac  0.7511  0.7511  0.7507  2 Sm 3.43-3.52, 4 Pr 3.53-3.73
Pr  0.0000  0.0000  0.0000  2 Pr 3.39, 6 Sm 3.44-3.66, 2 Ac 3.53
Pr  0.0014  0.0014  0.6712  5 Sm 3.33-3.64, 2 Pr 3.39-3.52, 1 Ac 3.53
Pr  0.4797  0.4797  0.8171  4 Sm 3.26-3.37, 1 Pr 3.35
Pr  0.5000  0.5000  0.5000  2 Sm 2.97
Pr  0.5203  0.5203  0.1829  4 Sm 3.26-3.37, 1 Pr 3.35
Pr  0.9986  0.9986  0.3288  5 Sm 3.33-3.64, 2 Pr 3.39-3.52, 1 Ac 3.53
Sm  0.1387  0.6418  0.0898  2 Pr 3.37-3.44, 4 Sm 3.47-3.76
Sm  0.2383  0.2383  0.5872  4 Pr 3.37-3.71, 1 Sm 3.37, 1 Ac 3.52
Sm  0.2437  0.7563  0.5000  3 Pr 2.97-3.33
Sm  0.2615  0.2615  0.9213  2 Pr 3.26-3.64, 5 Sm 3.37-3.57, 1 Ac 3.43
Sm  0.3582  0.8613  0.9102  2 Pr 3.37-3.44, 4 Sm 3.47-3.76
Sm  0.6418  0.1387  0.0898  2 Pr 3.37-3.44, 4 Sm 3.47-3.76
Sm  0.7385  0.7385  0.0787  2 Pr 3.26-3.64, 5 Sm 3.37-3.57, 1 Ac 3.43
Sm  0.7563  0.2437  0.5000  3 Pr 2.97-3.33
Sm  0.7617  0.7617  0.4128  4 Pr 3.37-3.71, 1 Sm 3.37, 1 Ac 3.52
Sm  0.8613  0.3582  0.9102  2 Pr 3.37-3.44, 4 Sm 3.47-3.76

Values from the calculation:
Energy of formation from the pure elements in eV per formula unit: 4.6

---

(11)
Density functional theory data (PBE-GGA) for a relaxed Zn5Ag2Ir crystal.

Lattice parameters (Å, degrees): 8.0281 8.0281 8.0281 151.01 151.01 41.46
Closest atoms and distances in Å follow each position.
Sites, in units of the cell vectors:
Zn  0.0000  0.0000  0.0000  8 Zn 2.67, 4 Ir 2.84
Zn  0.1168  0.6168  0.5000  6 Zn 2.67-2.84, 2 Ir 2.67, 4 Ag 2.77-2.90
Zn  0.3832  0.8832  0.5000  2 Ir 2.67, 6 Zn 2.67-2.84, 4 Ag 2.77-2.90
Zn  0.6168  0.1168  0.5000  6 Zn 2.67-2.84, 2 Ir 2.67, 4 Ag 2.77-2.90
Zn  0.8832  0.3832  0.5000  2 Ir 2.67, 6 Zn 2.67-2.84, 4 Ag 2.77-2.90
Ag  0.2560  0.2560  0.0000  8 Zn 2.77-2.90, 4 Ag 2.85
Ag  0.7440  0.7440  0.0000  8 Zn 2.77-2.90, 4 Ag 2.85
Ir  0.5000  0.5000  0.0000  12 Zn 2.67-2.84

Values from the calculation:
Energy of formation from the pure elements in eV per formula unit: -1.0

---

(12)
Density functional theory data (PBE-GGA) for a relaxed GdYLuAl crystal.

Lattice parameters (Å, degrees): 5.3269 5.3269 5.3269 60.00 60.00 60.00
Closest atoms and distances in Å follow each position.
Sites, in units of the cell vectors:
Gd  0.0000  0.0000  0.0000  4 Lu 3.26, 4 Al 3.26
Y  0.5000  0.5000  0.5000  4 Al 3.26, 4 Lu 3.26
Lu  0.7500  0.7500  0.7500  4 Y 3.26, 4 Gd 3.26
Al  0.2500  0.2500  0.2500  4 Y 3.26, 4 Gd 3.26

Values from the calculation:
Energy of formation from the pure elements in eV per formula unit: -0.4

---

Total DFT energy (no corrections) readings, ordered: -5.798 -5.172 -4.947 -4.867 -6.374 -2.684 -6.962 -3.312 -4.881 -4.164 -2.736 -7.297 eV per atom
Fermi-level density of states readings, ordered: 7.4 3.4 17.0 8.5 5.5 1.9 5.1 2.2 3.1 13.9 1.4 5.6 states/eV/f.u.